[1]
Density functional theory data (PBE) for crystalline Ba2Li2Ni at its relaxed geometry.

## Properties
The value obtained for the formation energy from the elements is 0.12 eV/atom.

abc: 5.0865 5.3175 6.6657
angles: 66.49 67.57 90.00
Closest atoms and distances in Å follow each position.
Element x y z (fractional)
Ni (0.0000, 0.0000, 0.0000)  4 Li 2.91, 4 Ba 3.21
Li (0.7695, 0.5000, 0.0000)  1 Li 2.34
Ba (0.6755, 0.1755, 0.6491)  2 Ni 3.21, 4 Li 3.57
Ba (0.3245, 0.8245, 0.3509)  2 Ni 3.21, 4 Li 3.57
Li (0.2305, 0.5000, 0.0000)  1 Li 2.34

[2]
Density functional theory data (PBE) for crystalline BaLiNi2 at its relaxed geometry.

## Properties
The value obtained for the relative energy among the computed polymorphs is 312.6 meV/atom. The value obtained for the formation energy from the elements is 0.36 eV/atom.

abc: 3.4344 3.4344 6.6600
angles: 90.00 90.00 89.91
Closest atoms and distances in Å follow each position.
Element x y z (fractional)
Ba (0.5000, 0.5000, 0.2500)  8 Ni 3.25, 2 Li 3.33, 4 Ba 3.43
Li (0.5000, 0.5000, 0.7500)  8 Ni 2.69-2.70
Ni (0.0000, 0.0000, 0.5746)  1 Ni 2.34
Ni (0.0000, 0.0000, 0.9254)  1 Ni 2.34

[3]
Density functional theory data (PBE) for crystalline BaLiNi at its relaxed geometry.

## Properties
The value obtained for the relative energy among the computed polymorphs is 15.4 meV/atom. The value obtained for the formation energy from the elements is 0.05 eV/atom.

abc: 4.8147 4.8811 7.2382
angles: 90.00 90.28 90.00
Closest atoms and distances in Å follow each position.
Element x y z (fractional)
Ba (0.2481, 0.5000, 0.7863)  4 Ni 3.13
Ni (0.5000, 0.0000, 0.0000)  2 Ni 2.41, 2 Li 2.62
Li (0.7471, 0.0000, 0.6786)  2 Ni 2.62
Ba (0.7519, 0.5000, 0.2137)  4 Ni 3.13
Li (0.2529, 0.0000, 0.3214)  2 Ni 2.62
Ni (0.0000, 0.0000, 0.0000)  2 Ni 2.41, 2 Li 2.62

[4]
Density functional theory data (PBE) for crystalline BaLi3Ni at its relaxed geometry.

## Properties
The value obtained for the relative energy among the computed polymorphs is 0.0 meV/atom. The value obtained for the formation energy from the elements is 0.17 eV/atom.

abc: 4.9800 4.9800 4.9800
angles: 90.00 90.00 90.00
Closest atoms and distances in Å follow each position.
Element x y z (fractional)
Li (0.5000, 0.0000, 0.0000)  2 Ni 2.49
Ba (0.5000, 0.5000, 0.5000)  12 Li 3.52
Ni (0.0000, 0.0000, 0.0000)  6 Li 2.49
Li (0.0000, 0.5000, 0.0000)  2 Ni 2.49
Li (0.0000, 0.0000, 0.5000)  2 Ni 2.49

[5]
Density functional theory data (PBE) for crystalline Ba2Li4Ni at its relaxed geometry.

## Properties
The value obtained for the formation energy from the elements is 0.18 eV/atom.

abc: 4.9894 4.9894 9.7038
angles: 75.10 75.10 90.00
Closest atoms and distances in Å follow each position.
Element x y z (fractional)
Ni (0.0000, 0.0000, 0.0000)  6 Li 2.31-2.49
Li (0.8724, 0.8724, 0.2552)  1 Ni 2.31
Ba (0.6537, 0.6537, 0.6925)  9 Li 3.56-3.95
Li (0.5000, 0.0000, 0.0000)  2 Ni 2.49
Ba (0.3463, 0.3463, 0.3075)  9 Li 3.56-3.95
Li (0.1276, 0.1276, 0.7448)  1 Ni 2.31
Li (0.0000, 0.5000, 0.0000)  2 Ni 2.49

[6]
Density functional theory data (PBE) for crystalline Ba4Li2Ni at its relaxed geometry.

## Properties
The value obtained for the formation energy from the elements is 0.09 eV/atom.

abc: 5.9413 5.9413 10.3412
angles: 73.31 73.31 90.00
Closest atoms and distances in Å follow each position.
Element x y z (fractional)
Ba (0.1713, 0.1713, 0.6574)  1 Ni 3.24
Ba (0.5000, 0.0000, 0.0000)  2 Ni 2.97
Ba (0.0000, 0.5000, 0.0000)  2 Ni 2.97
Li (0.3711, 0.3711, 0.2578)  5 Ba 3.78-3.84
Li (0.6289, 0.6289, 0.7422)  5 Ba 3.78-3.84
Ba (0.8287, 0.8287, 0.3426)  1 Ni 3.24
Ni (0.0000, 0.0000, 0.0000)  6 Ba 2.97-3.24